The following is a DFT calculation (GGA-PBE) of crystalline ZrMo6W2 at its relaxed geometry.

The space group is Immm (No. 71) and the conventional cell measures 4.5490, 5.4816 and 12.8918 Å, with angles of 90.00, 90.00 and 90.00 degrees. The inequivalent atoms are Zr at (0.0000, 0.0000, 0.0000), Mo at (0.0000, 0.2354, 0.5000), Mo at (0.0000, 0.2382, 0.3036) and W at (0.0000, 0.5000, 0.1105).

As for the formation energy from the elements: 601 meV/atom. The mass density comes out at 10.7 g cm⁻³. The size of the total moment is 0.00 μB/f.u. The density of states at the Fermi level comes out at 19.254 states/eV per cell.